ZrSi2Hg GGA-PBE optimized geometry; symmetry = F-43m, No. 216; uncorrected energy = -4.581 eV/atom; relative energy among the computed polymorphs = 43.5 kJ/mol of atoms
1.0
0.0000 3.3818 3.3818
3.3818 0.0000 3.3818
3.3818 3.3818 0.0000
Zr Si Hg
1 2 1
direct
0.0000 0.0000 0.0000
0.2500 0.2500 0.2500
0.5000 0.5000 0.5000
0.7500 0.7500 0.7500